Entry 1:
Compound: Ta5Mo3
Source: the Alexandria database
Functional: GGA-PBE
Structure: optimized geometry

Summary:
* E_form: -137 meV/atom
* volume: 138 Å³/f.u.
* E: -92.85 eV per cell
* excess energy over the best structure of this formula in the dataset: 36 meV per atom

a = 5.402 Å, b = 5.402 Å, c = 5.636 Å
α = 99.89°, β = 99.89°, γ = 117.32°
Fractional coordinates of all 8 atoms:
Ta (0.000, 0.000, 0.000)
Ta (0.492, 0.017, 0.751)
Ta (0.498, 0.502, 0.500)
Ta (0.980, 0.020, 0.500)
Ta (0.983, 0.508, 0.249)
Mo (0.484, 0.516, 0.000)
Mo (0.491, 0.004, 0.249)
Mo (0.996, 0.509, 0.751)

---

Entry 2:
Compound: Ce3Pb4
Source: the Alexandria database
Functional: GGA-PBE
Structure: optimized geometry

Summary:
* E_form: -305 meV/atom
* volume: 219 Å³/f.u.
* E: -69.54 eV per cell
* excess energy over the best structure of this formula in the dataset: 63 meV per atom

a = 8.288 Å, b = 8.288 Å, c = 8.288 Å
α = 109.47°, β = 109.47°, γ = 109.47°
Fractional coordinates of all 14 atoms:
Ce (0.125, 0.750, 0.875)
Ce (0.250, 0.625, 0.375)
Ce (0.375, 0.250, 0.625)
Ce (0.625, 0.375, 0.250)
Ce (0.750, 0.875, 0.125)
Ce (0.875, 0.125, 0.750)
Pb (0.000, 0.336, 0.500)
Pb (0.000, 0.836, 0.500)
Pb (0.164, 0.164, 0.164)
Pb (0.336, 0.500, 0.000)
Pb (0.500, 0.000, 0.336)
Pb (0.500, 0.000, 0.836)
Pb (0.664, 0.664, 0.664)
Pb (0.836, 0.500, 0.000)

---

Entry 3:
Compound: SrTe2Br
Source: the Alexandria database
Functional: GGA-PBE
Structure: optimized geometry

Summary:
* volume: 169 Å³/f.u.
* E: -28.26 eV per cell
* excess energy over the best structure of this formula in the dataset: 62 meV per atom
* formation energy from raw total energies: -1.123 eV per atom

a = 5.531 Å, b = 6.830 Å, c = 9.533 Å
α = 79.08°, β = 77.27°, γ = 75.96°
Fractional coordinates of all 8 atoms:
Sr (0.000, 0.000, 0.000)
Sr (0.397, 0.817, 0.421)
Te (0.051, 0.131, 0.644)
Te (0.318, 0.426, 0.706)
Te (0.515, 0.803, 0.762)
Te (0.900, 0.545, 0.916)
Br (0.421, 0.102, 0.134)
Br (0.973, 0.714, 0.304)